Record 1
Crystalline Pm2H8Pd at its relaxed geometry. Source: Alexandria via LeMat-Bulk, functional PBE-GGA.

POSCAR file:
```
Pm2H8Pd
1.0
-0.364 2.431 -2.653
-3.974 1.134 1.585
5.824 2.702 4.140
Pm H Pd
2 8 1
Direct
0.840 0.326 0.680
0.160 0.674 0.320
0.395 0.663 0.789
0.682 0.982 0.363
0.764 0.694 0.527
0.977 0.155 0.954
0.236 0.306 0.473
0.318 0.018 0.637
0.605 0.337 0.211
0.023 0.845 0.046
0.500 0.000 0.000
```

Raw total energy = -4.07 eV/atom
Magnetic moment = 0.0 μB/cell

=====

Record 2
Crystalline NaGeBi at its relaxed geometry. Source: Alexandria via LeMat-Bulk, functional PBE-GGA.

POSCAR file:
```
NaGeBi
1.0
-0.555 0.079 -7.133
1.226 -5.206 -0.153
-7.925 -2.095 7.770
Na Ge Bi
4 4 4
Direct
0.365 0.819 0.115
0.635 0.819 0.885
0.365 0.319 0.615
0.635 0.319 0.385
0.951 0.571 0.249
0.049 0.571 0.751
0.951 0.071 0.749
0.049 0.071 0.251
0.500 0.815 0.500
0.500 0.315 0.000
0.000 0.322 0.000
0.000 0.822 0.500
```

Raw total energy = -3.35 eV/atom
Magnetic moment = 0.0 μB/cell
DFT formation energy = -79 meV per atom

=====

Record 3
Crystalline Hf5Sn2B at its relaxed geometry. Source: Alexandria via LeMat-Bulk, functional PBE-GGA.

POSCAR file:
```
Hf5Sn2B
1.0
-2.053 -3.956 0.775
7.716 -1.127 1.488
-1.692 3.048 11.083
Hf Sn B
10 4 2
Direct
0.885 0.770 0.888
0.885 0.770 0.612
0.304 0.607 0.439
0.304 0.607 0.061
0.727 0.453 0.250
0.273 0.547 0.750
0.696 0.393 0.561
0.696 0.393 0.939
0.115 0.230 0.112
0.115 0.230 0.388
0.921 0.842 0.368
0.921 0.842 0.132
0.079 0.158 0.632
0.079 0.158 0.868
0.778 0.556 0.750
0.222 0.444 0.250
```

Raw total energy = -7.88 eV/atom
Magnetic moment = 0.0 μB/cell
DFT formation energy = 172 meV per atom

=====

Record 4
Crystalline RbMnOs2 at its relaxed geometry. Source: Alexandria via LeMat-Bulk, functional PBE-GGA.

POSCAR file:
```
RbMnOs2
1.0
7.304 0.000 0.000
0.000 7.304 0.000
3.652 3.652 3.042
Mn Os Rb
2 4 2
Direct
0.500 0.500 0.000
0.250 0.750 0.500
0.538 0.125 0.250
0.212 0.625 0.250
0.375 0.462 0.750
0.875 0.788 0.750
0.000 0.000 0.000
0.750 0.250 0.500
```

Raw total energy = -6.35 eV/atom
Magnetic moment = 0.0 μB/cell
DFT formation energy = 1798 meV per atom

=====

Record 5
Crystalline Ho4TmTh6 at its relaxed geometry. Source: Alexandria via LeMat-Bulk, functional PBE-GGA.

POSCAR file:
```
Ho4TmTh6
1.0
6.419 0.000 0.000
0.000 6.419 0.000
-3.210 -3.210 8.879
Ho Tm Th
4 1 6
Direct
0.058 0.691 0.749
0.942 0.942 0.251
0.691 0.058 0.749
0.309 0.309 0.251
0.500 0.500 0.000
0.875 0.499 0.374
0.499 0.875 0.374
0.501 0.501 0.626
0.000 0.500 0.000
0.125 0.125 0.626
0.500 0.000 0.000
```

Raw total energy = -5.70 eV/atom
Magnetic moment = 0.0 μB/cell
DFT formation energy = 421 meV per atom

=====

Record 6
Crystalline P2RuICl at its relaxed geometry. Source: Alexandria via LeMat-Bulk, functional PBE-GGA.

POSCAR file:
```
P2RuICl
1.0
-2.625 3.790 -0.612
-1.169 -0.083 4.501
3.843 2.832 1.051
I Ru P Cl
1 1 2 1
Direct
0.500 0.500 0.500
0.000 0.000 0.000
0.000 0.500 0.000
0.500 0.000 0.000
0.000 0.000 0.500
```

Raw total energy = -4.36 eV/atom
Magnetic moment = 0.0 μB/cell
Formation energy without anion corrections = 336 meV per atom

=====

Record 7
Crystalline SrIr2O8 at its relaxed geometry. Source: Alexandria via LeMat-Bulk, functional PBE-GGA.

POSCAR file:
```
SrIr2O8
1.0
-0.888 -2.331 2.784
-3.084 -3.956 -4.356
6.433 -0.493 1.580
Sr Ir O
1 2 8
Direct
0.500 0.000 0.000
0.000 0.259 0.741
0.000 0.741 0.259
0.992 0.912 0.634
0.992 0.634 0.912
0.432 0.590 0.590
0.500 0.739 0.261
0.500 0.261 0.739
0.568 0.410 0.410
0.008 0.366 0.088
0.008 0.088 0.366
```

Raw total energy = -6.25 eV/atom
Magnetic moment = 1.5 μB/cell
Formation energy without anion corrections = -878 meV per atom

=====

Record 8
Crystalline Dy5Ho12Zr2 at its relaxed geometry. Source: Alexandria via LeMat-Bulk, functional PBE-GGA.

POSCAR file:
```
Dy5Ho12Zr2
1.0
7.351 0.000 0.000
-3.675 8.460 3.086
0.000 -0.093 9.442
Dy Ho Zr
5 12 2
Direct
0.201 0.402 0.789
0.313 0.627 0.210
0.000 0.000 0.500
0.687 0.373 0.790
0.799 0.598 0.211
0.982 0.964 0.191
0.089 0.688 0.876
0.598 0.688 0.876
0.090 0.684 0.506
0.594 0.684 0.506
0.495 0.990 0.685
0.505 0.010 0.315
0.910 0.316 0.494
0.406 0.316 0.494
0.911 0.312 0.124
0.402 0.312 0.124
0.018 0.036 0.809
0.676 0.000 0.000
0.324 0.000 0.000
```

Raw total energy = -4.83 eV/atom
Magnetic moment = 0.0 μB/cell
DFT formation energy = 173 meV per atom